# 1
A plane-wave DFT calculation with PBE-GGA was carried out for an optimized crystal structure of SrCd2InBi2.

Cell: 4.5335 9.3233 8.9533 Å, 90.00 90.00 90.00°
With the nearest neighbours (Å) after each atom.
Sites, in units of the cell vectors:
Sr 0.0000 0.0972 0.0000  5 Bi 3.37-3.47, 1 Cd 3.43
Sr 0.0000 0.9028 0.5000  5 Bi 3.37-3.47, 1 Cd 3.43
Cd 0.0000 0.2665 0.4460  3 Bi 2.93-3.13, 2 In 3.05
Cd 0.0000 0.7335 0.9460  3 Bi 2.93-3.13, 2 In 3.05
Cd 0.5000 0.4147 0.1079  5 Bi 3.20-3.48, 1 In 3.34
Cd 0.5000 0.5853 0.6079  5 Bi 3.20-3.48, 1 In 3.34
In 0.5000 0.2316 0.6704  3 Cd 3.05-3.34, 3 Bi 3.20-3.37
In 0.5000 0.7684 0.1704  3 Cd 3.05-3.34, 3 Bi 3.20-3.37
Bi 0.0000 0.4312 0.8555  3 Cd 2.93-3.20
Bi 0.0000 0.5688 0.3555  3 Cd 2.93-3.20
Bi 0.5000 0.0937 0.2851  3 Cd 3.13-3.39, 1 In 3.20, 4 Sr 3.41-3.47
Bi 0.5000 0.9063 0.7851  3 Cd 3.13-3.39, 1 In 3.20, 4 Sr 3.41-3.47

Formation energy from the elements ... -0.219 eV per atom
Space group ... Pmc2_1 (26)
Crystal system ... orthorhombic

# 2
A plane-wave DFT calculation with PBE-GGA was carried out for an optimized crystal structure of DyThTeC.

Cell: 7.6418 7.6418 7.6418 Å, 29.24 29.24 29.24°
With the nearest neighbours (Å) after each atom.
Sites, in units of the cell vectors:
Dy 0.0000 0.0000 0.0000  3 C 2.61
Th 0.7918 0.7918 0.7918  3 C 2.62
Te 0.5667 0.5667 0.5667  3 Dy 3.13, 3 Th 3.25
C 0.3954 0.3954 0.3954  3 Dy 2.61, 3 Th 2.62

Space group ... R3m (160)
Crystal system ... trigonal
Raw formation energy ... -0.82 eV per atom

# 3
A plane-wave DFT calculation with PBE-GGA was carried out for an optimized crystal structure of K2RuCl4O2.

Cell: 6.5534 6.5534 5.5938 Å, 97.07 97.07 65.96°
With the nearest neighbours (Å) after each atom.
Sites, in units of the cell vectors:
K 0.1647 0.1647 0.2959  8 Cl 3.24-3.51, 3 O 3.25-3.61
K 0.8353 0.8353 0.7041  8 Cl 3.24-3.51, 3 O 3.25-3.61
Ru 0.5000 0.5000 0.0000  2 O 1.74
Cl 0.1548 0.6463 0.2016  1 Ru 2.43
Cl 0.3537 0.8452 0.7984  1 Ru 2.43
Cl 0.6463 0.1548 0.2016  1 Ru 2.43
Cl 0.8452 0.3537 0.7984  1 Ru 2.43
O 0.3766 0.3766 0.7656  1 Ru 1.74
O 0.6234 0.6234 0.2344  1 Ru 1.74

Space group ... C2/m (12)
Crystal system ... monoclinic
Raw formation energy ... -1.18 eV per atom

# 4
A plane-wave DFT calculation with PBE-GGA was carried out for an optimized crystal structure of TlRu3I.

Cell: 4.9111 4.9111 4.9111 Å, 90.00 90.00 90.00°
With the nearest neighbours (Å) after each atom.
Sites, in units of the cell vectors:
Tl 0.0000 0.0000 0.0000  12 Ru 3.47
Ru 0.0000 0.5000 0.5000  2 I 2.46
Ru 0.5000 0.0000 0.5000  2 I 2.46
Ru 0.5000 0.5000 0.0000  2 I 2.46
I 0.5000 0.5000 0.5000  6 Ru 2.46

Space group ... Pm-3m (221)
Crystal system ... cubic
Raw formation energy ... 1.65 eV per atom

# 5
A plane-wave DFT calculation with PBE-GGA was carried out for an optimized crystal structure of UPCl.

Cell: 3.8907 3.8948 11.8543 Å, 90.00 99.01 90.00°
With the nearest neighbours (Å) after each atom.
Sites, in units of the cell vectors:
U 0.1863 0.2500 0.3666  1 Cl 2.48, 4 P 2.77
U 0.8137 0.7500 0.6334  1 Cl 2.48, 4 P 2.77
P 0.3008 0.2500 0.6064  5 U 2.77-2.81
P 0.6992 0.7500 0.3936  5 U 2.77-2.81
Cl 0.0844 0.2500 0.1552  1 U 2.48
Cl 0.9156 0.7500 0.8448  1 U 2.48

Space group ... P2_1/m (11)
Crystal system ... monoclinic
Raw formation energy ... -1.07 eV per atom

# 6
A plane-wave DFT calculation with PBE-GGA was carried out for an optimized crystal structure of CsAgAsBr2.

Cell: 6.7038 6.7038 6.1386 Å, 90.00 90.00 90.00°
With the nearest neighbours (Å) after each atom.
Sites, in units of the cell vectors:
Cs 0.0000 0.0000 0.0000  2 As 3.07, 4 Br 3.35
Ag 0.5000 0.5000 0.5000  8 Br 4.54, 4 As 4.74
As 0.0000 0.0000 0.5000  2 Cs 3.07
Br 0.0000 0.5000 0.0000  2 Cs 3.35
Br 0.5000 0.0000 0.0000  2 Cs 3.35

Space group ... P4/mmm (123)
Crystal system ... tetragonal
Raw formation energy ... 0.51 eV per atom

# 7
A plane-wave DFT calculation with PBE-GGA was carried out for an optimized crystal structure of LaSmCd.

Cell: 5.3741 5.3741 3.6238 Å, 90.00 90.00 120.00°
With the nearest neighbours (Å) after each atom.
Sites, in units of the cell vectors:
La 0.0000 0.0000 0.0000  3 Cd 3.35, 3 Sm 3.41, 2 La 3.62
Sm 0.3333 0.6667 0.6069  3 Cd 3.24, 3 La 3.41, 2 Sm 3.62
Cd 0.6667 0.3333 0.3468  3 Sm 3.24, 3 La 3.35, 2 Cd 3.62

Formation energy from the elements ... -0.102 eV per atom
Space group ... P3m1 (156)
Crystal system ... trigonal

# 8
A plane-wave DFT calculation with PBE-GGA was carried out for an optimized crystal structure of NbNi2TeIr.

Cell: 4.4329 4.4329 5.1551 Å, 90.00 90.00 90.00°
With the nearest neighbours (Å) after each atom.
Sites, in units of the cell vectors:
Nb 0.0000 0.0000 0.0000  2 Te 2.58
Ni 0.0000 0.5000 0.5000  2 Te 2.22
Ni 0.5000 0.0000 0.5000  2 Te 2.22
Te 0.0000 0.0000 0.5000  4 Ni 2.22
Ir 0.5000 0.5000 0.0000  4 Nb 3.13, 8 Ni 3.40

Space group ... P4/mmm (123)
Crystal system ... tetragonal
Raw formation energy ... 1.30 eV per atom